This record from Alexandria via LeMat-Bulk describes a PBEsol-optimized structure of Lu3Si2Ni6. The functional is SCAN.

Results
For the total energy, the calculation gives -582.47 eV for the cell shown. The uncorrected formation energy is -739 meV per atom. Its crystal system is cubic. As for the calculated density: 9.98 g/cm³.

a = 7.3896 Å, b = 7.3896 Å, c = 7.3896 Å
α = 109.47°, β = 109.47°, γ = 109.47°
Fractional positions:
Lu: 0.0000 0.2857 0.2857
Lu: 0.0000 0.7143 0.7143
Lu: 0.2857 0.0000 0.2857
Lu: 0.2857 0.2857 0.0000
Lu: 0.7143 0.0000 0.7143
Lu: 0.7143 0.7143 0.0000
Si: 0.0000 0.0000 0.5000
Si: 0.0000 0.5000 0.0000
Si: 0.5000 0.0000 0.0000
Si: 0.5000 0.5000 0.5000
Ni: 0.0000 0.3319 0.6681
Ni: 0.0000 0.6681 0.3319
Ni: 0.3319 0.0000 0.6681
Ni: 0.3319 0.3319 0.6638
Ni: 0.3319 0.6638 0.3319
Ni: 0.3319 0.6681 0.0000
Ni: 0.3362 0.6681 0.6681
Ni: 0.6638 0.3319 0.3319
Ni: 0.6681 0.0000 0.3319
Ni: 0.6681 0.3319 0.0000
Ni: 0.6681 0.3362 0.6681
Ni: 0.6681 0.6681 0.3362